Below is Tb12Sm5Sc2 after structural relaxation, with properties calculated at the GGA-PBE level.

Properties
total energy: -4.66 eV per atom
calculated volume: 614 Å³/cell
DOS(E_F): 1.692 states/eV/atom
total magnetic moment: 0.0000 μB/atom
symmetry: C2/m, No. 12
calculated density: 7430 kg/m3

Cell lengths 10.040, 10.040, 9.901 Å; angles 112.57, 112.57, 42.49 degrees
Atoms (fractional coordinates):
Tb 0.004 0.004 0.315
Tb 0.092 0.583 0.498
Tb 0.092 0.591 0.144
Tb 0.409 0.908 0.856
Tb 0.417 0.908 0.502
Tb 0.490 0.490 0.790
Tb 0.510 0.510 0.210
Tb 0.583 0.092 0.498
Tb 0.591 0.092 0.144
Tb 0.908 0.409 0.856
Tb 0.908 0.417 0.502
Tb 0.996 0.996 0.685
Sm 0.179 0.179 0.200
Sm 0.319 0.319 0.819
Sm 0.500 0.500 0.500
Sm 0.681 0.681 0.181
Sm 0.821 0.821 0.800
Sc 0.196 0.804 0.000
Sc 0.804 0.196 0.000

Below is Li2LaTc after structural relaxation, with properties calculated at the GGA-PBE level.

Properties
calculated volume: 76 Å³/cell
DOS(E_F): 1.090 states/eV/atom
total magnetic moment: 0.0000 μB/atom
energy above the lowest structure with this stoichiometry: 22 kJ/mol of formula units
symmetry: I4/mmm, No. 139
calculated density: 5493 kg/m3

Cell lengths 5.551, 5.551, 5.551 Å; angles 137.98, 137.98, 60.94 degrees
Atoms (fractional coordinates):
Li 0.250 0.750 0.500
Li 0.750 0.250 0.500
La 0.000 0.000 0.000
Tc 0.500 0.500 0.000

Below is Dy2Ga3Ni4Sn after structural relaxation, with properties calculated at the GGA-PBE level.

Properties
total energy: -5.09 eV per atom
calculated volume: 171 Å³/cell
DOS(E_F): 0.743 states/eV/atom
total magnetic moment: 0.0000 μB/atom
symmetry: P-4m2, No. 115
calculated density: 8616 kg/m3

Cell lengths 4.104, 4.104, 10.158 Å; angles 90.00, 90.00, 90.00 degrees
Atoms (fractional coordinates):
Dy 0.000 0.500 0.240
Dy 0.500 0.000 0.760
Ga 0.000 0.500 0.878
Ga 0.500 0.000 0.122
Ga 0.500 0.500 0.500
Ni 0.000 0.000 0.000
Ni 0.000 0.500 0.647
Ni 0.500 0.000 0.353
Ni 0.500 0.500 0.000
Sn 0.000 0.000 0.500

Below is PmAlAsO5 after structural relaxation, with properties calculated at the GGA-PBE level.

Properties
calculated volume: 203 Å³/cell
DOS(E_F): 0.186 states/eV/atom
total magnetic moment: 0.1115 μB/atom
E_form (uncorrected): -2.31 eV per atom
symmetry: C2/c, No. 15
calculated density: 5351 kg/m3

Cell lengths 5.583, 5.583, 7.494 Å; angles 107.20, 107.20, 101.11 degrees
Atoms (fractional coordinates):
Pm 0.184 0.816 0.750
Pm 0.816 0.184 0.250
Al 0.500 0.500 0.000
Al 0.500 0.500 0.500
As 0.201 0.799 0.250
As 0.799 0.201 0.750
O 0.132 0.257 0.903
O 0.183 0.604 0.424
O 0.257 0.132 0.403
O 0.396 0.817 0.076
O 0.452 0.548 0.750
O 0.548 0.452 0.250
O 0.604 0.183 0.924
O 0.743 0.868 0.597
O 0.817 0.396 0.576
O 0.868 0.743 0.097

Below is Pr2SmHg4 after structural relaxation, with properties calculated at the GGA-PBE level.

Properties
calculated volume: 214 Å³/cell
DOS(E_F): 1.152 states/eV/atom
total magnetic moment: 0.0001 μB/atom
energy above the lowest structure with this stoichiometry: 68 kJ/mol of formula units
symmetry: I4/mmm, No. 139
calculated density: 9579 kg/m3

Cell lengths 7.508, 7.508, 7.508 Å; angles 134.20, 134.20, 66.77 degrees
Atoms (fractional coordinates):
Pr 0.141 0.141 0.000
Pr 0.859 0.859 0.000
Sm 0.500 0.500 0.000
Hg 0.000 0.500 0.500
Hg 0.250 0.750 0.500
Hg 0.500 0.000 0.500
Hg 0.750 0.250 0.500

Below is BaCuOs3 after structural relaxation, with properties calculated at the GGA-PBE level.

Properties
calculated volume: 131 Å³/cell
DOS(E_F): 0.902 states/eV/atom
total magnetic moment: 0.9555 μB/atom
energy above the lowest structure with this stoichiometry: 998 kJ/mol of formula units
symmetry: Pm-3m, No. 221
calculated density: 9806 kg/m3

Cell lengths 5.074, 5.074, 5.074 Å; angles 90.00, 90.00, 90.00 degrees
Atoms (fractional coordinates):
Ba 0.000 0.000 0.000
Cu 0.500 0.500 0.500
Os 0.000 0.000 0.500
Os 0.000 0.500 0.000
Os 0.500 0.000 0.000